Compound: Ba2NaSn8
Source: the Alexandria database
Functional: PBE
Structure: optimized geometry

Structure (extended XYZ):
```
11
Lattice="3.438 -8.377 0.000 3.438 8.377 0.000 -2.650 0.000 6.421" Properties=species:S:1:pos:R:3 pbc="T T T"
Ba 3.438 5.752 0.000
Ba 3.438 -5.752 0.000
Na -1.325 0.000 3.211
Sn 2.113 4.320 3.211
Sn 0.656 2.247 4.929
Sn 1.689 0.000 1.818
Sn 3.571 2.247 1.492
Sn 0.656 -2.247 4.929
Sn 2.537 0.000 4.603
Sn 3.571 -2.247 1.492
Sn 2.113 -4.320 3.211
```

## Properties
Formation energy (eV/atom): -0.31


Compound: AcTlPb2Cl8
Source: the Alexandria database
Functional: PBE
Structure: optimized geometry

Structure (extended XYZ):
```
12
Lattice="6.777 0.000 0.000 0.000 9.121 0.000 -0.065 0.000 7.016" Properties=species:S:1:pos:R:3 pbc="T T T"
Ac 0.000 0.000 0.000
Tl 0.000 4.560 0.000
Pb 3.356 2.352 3.508
Pb 3.356 6.769 3.508
Cl 1.612 2.082 1.179
Cl 1.612 7.039 1.179
Cl 1.737 0.000 4.714
Cl 1.873 4.560 4.500
Cl 4.840 4.560 2.516
Cl 4.975 0.000 2.303
Cl 5.100 2.082 5.837
Cl 5.100 7.039 5.837
```

## Properties
ΔE_f (raw) (meV/atom): -1544


Compound: SmYHg
Source: the Alexandria database
Functional: PBE
Structure: optimized geometry

Structure (extended XYZ):
```
9
Lattice="8.890 0.000 0.000 -4.445 7.699 0.000 0.000 0.000 3.796" Properties=species:S:1:pos:R:3 pbc="T T T"
Sm -2.706 4.686 0.000
Sm 1.739 3.012 0.000
Sm 5.411 0.000 0.000
Y -1.223 2.118 1.898
Y 2.445 0.000 1.898
Y 3.222 5.581 1.898
Hg 0.000 0.000 0.000
Hg 0.000 5.132 1.898
Hg 4.445 2.566 1.898
```

## Properties
Formation energy (eV/atom): -0.29
Energy above the most stable polymorph in this dataset (eV/atom): 0.073


Compound: HfPdPtF2
Source: the Alexandria database
Functional: PBE
Structure: optimized geometry

Structure (extended XYZ):
```
5
Lattice="4.076 0.000 0.000 0.000 4.076 0.000 0.000 0.000 5.541" Properties=species:S:1:pos:R:3 pbc="T T T"
Hf 0.000 0.000 0.000
Pd 2.038 2.038 0.000
Pt 0.000 0.000 2.771
F 0.000 2.038 2.771
F 2.038 0.000 2.771
```

## Properties
ΔE_f (raw) (meV/atom): -347


Compound: CaCoAsH
Source: the Alexandria database
Functional: PBE
Structure: optimized geometry

Structure (extended XYZ):
```
8
Lattice="3.913 0.000 0.000 0.000 3.913 0.000 0.000 0.000 7.820" Properties=species:S:1:pos:R:3 pbc="T T T"
Ca 0.978 0.978 1.202
Ca 2.935 2.935 6.618
Co 0.978 2.935 3.910
Co 2.935 0.978 3.910
As 0.978 0.978 5.175
As 2.935 2.935 2.645
H 0.978 2.935 0.000
H 2.935 0.978 0.000
```

## Properties
E (eV/atom): -4.933


Compound: Pm4Er8Sc
Source: the Alexandria database
Functional: PBE
Structure: optimized geometry

Structure (extended XYZ):
```
13
Lattice="3.722 2.149 8.604 -3.722 2.149 8.604 0.000 -4.297 8.604" Properties=species:S:1:pos:R:3 pbc="T T T"
Pm 0.000 0.000 0.000
Pm -1.861 -1.074 8.604
Pm -1.861 1.074 17.208
Pm 0.000 2.149 8.604
Er -2.091 -1.207 14.391
Er 0.000 0.000 5.687
Er 0.000 -2.415 11.421
Er -2.091 1.207 11.421
Er 2.091 -1.207 14.391
Er 0.000 2.415 14.391
Er 0.000 0.000 20.125
Er 2.091 1.207 11.421
Sc 0.000 0.000 12.906
```

## Properties
Formation energy (eV/atom): 0.18


Compound: PuPaTe2
Source: the Alexandria database
Functional: PBE
Structure: optimized geometry

Structure (extended XYZ):
```
4
Lattice="3.702 -2.140 0.000 3.702 2.140 0.000 -2.476 0.000 7.523" Properties=species:S:1:pos:R:3 pbc="T T T"
Pu 0.000 0.000 0.000
Pa 2.464 0.000 3.761
Te -0.006 0.000 5.652
Te 4.934 0.000 1.871
```

## Properties
ΔE_f (raw) (meV/atom): -818
Energy above the most stable polymorph in this dataset (eV/atom): 0.010


Compound: SnBiI
Source: the Alexandria database
Functional: PBE
Structure: optimized geometry

Structure (extended XYZ):
```
6
Lattice="5.608 -3.296 0.000 5.608 3.296 0.000 -2.321 0.000 5.945" Properties=species:S:1:pos:R:3 pbc="T T T"
Sn -0.526 0.000 1.469
Sn 9.421 0.000 4.476
Bi 2.804 1.648 0.000
Bi 2.804 -1.648 0.000
I 2.433 0.000 3.981
I 6.463 0.000 1.965
```

## Properties
ΔE_f (raw) (meV/atom): 29
Energy above the most stable polymorph in this dataset (eV/atom): 0.140